Compound: ErAlIrRh
Source: the Alexandria database
Functional: GGA-PBE
Structure: relaxed

Values from the calculation:
M_tot = 0.000 μB/f.u.
DFT total energy = -0.2574 hartree per atom
Energy relative to the elements = -0.875 eV/atom

Structure (CIF):
```
data_ErAlIrRh
_space_group_name_H-M_alt 'F -4 3 m'
_space_group_IT_number 216
_space_group_name_Hall 'F -4 2 3'
_cell_length_a 6.433
_cell_length_b 6.433
_cell_length_c 6.433
_cell_angle_alpha 90.00
_cell_angle_beta 90.00
_cell_angle_gamma 90.00
loop_
_atom_site_label
_atom_site_fract_x
_atom_site_fract_y
_atom_site_fract_z
_atom_site_occupancy
Er1 0.000 0.000 0.000 1
Al1 0.000 0.000 0.500 1
Ir1 0.250 0.250 0.250 1
Rh1 0.250 0.250 0.750 1
```